Crystalline TiCrO3 at its relaxed geometry, computed with GGA+U.

abc: 5.252 5.255 14.851
angles: 92.68 94.14 119.11
Fractional positions:
O (0.986, 0.290, 0.914)
O (0.321, 0.978, 0.258)
O (0.667, 0.974, 0.106)
O (0.677, 0.684, 0.240)
O (0.963, 0.284, 0.600)
O (0.046, 0.381, 0.240)
O (0.032, 0.674, 0.742)
O (0.686, 0.628, 0.915)
O (0.285, 0.312, 0.100)
O (0.696, 0.046, 0.740)
O (0.636, 0.987, 0.415)
O (0.302, 0.369, 0.412)
O (0.372, 0.320, 0.756)
O (0.689, 0.670, 0.607)
O (0.989, 0.677, 0.418)
O (0.041, 0.740, 0.099)
O (0.371, 0.990, 0.917)
O (0.295, 0.042, 0.598)
Cr (0.987, 0.018, 0.491)
Cr (0.630, 0.325, 0.355)
Cr (0.335, 0.629, 0.851)
Cr (0.334, 0.676, 0.653)
Cr (0.678, 0.350, 0.154)
Cr (0.015, 0.989, 0.990)
Ti (0.657, 0.283, 0.868)
Ti (0.339, 0.674, 0.151)
Ti (0.003, 0.005, 0.196)
Ti (0.668, 0.333, 0.651)
Ti (0.288, 0.669, 0.366)
Ti (0.013, 0.003, 0.696)

M_tot	4.025	μB per formula unit
volume	59	Å³/f.u.
density	4144	kg/m³
SG	P1
VASP energy	-8.431	eV per atom